1.
# TmTiP2Ir5 (PBE, optimized geometry)
# **DFT total energy**: -73.11 eV for the cell shown
# **ΔH_f (0 K)**: -60.2 kJ/mol of atoms
# **Size of the total moment**: 0.000 μB/f.u.
# **DOS(E_F)**: 1.91 states/eV/cell
data_TmTiP2Ir5
_cell_length_a 3.9912
_cell_length_b 3.9912
_cell_length_c 10.2478
_cell_angle_alpha 90.00
_cell_angle_beta 90.00
_cell_angle_gamma 90.00
_symmetry_space_group_name_H-M 'P 4/m m m'
_symmetry_Int_Tables_number 123
_symmetry_space_group_name_Hall '-P 4 2'
loop_
_atom_site_label
_atom_site_type_symbol
_atom_site_fract_x
_atom_site_fract_y
_atom_site_fract_z
Tm1 Tm 0.0000 0.0000 0.0000
Ti1 Ti 0.0000 0.0000 0.5000
P1 P 0.5000 0.5000 0.2224
Ir1 Ir 0.0000 0.5000 0.3339
Ir2 Ir 0.5000 0.5000 0.0000

=====

2.
# SbRu2 (PBE, optimized geometry)
# **DFT total energy**: -88.41 eV for the cell shown
# **Size of the total moment**: 0.000 μB/f.u.
# **DOS(E_F)**: 15.67 states/eV/cell
data_SbRu2
_cell_length_a 8.1935
_cell_length_b 5.2192
_cell_length_c 4.6267
_cell_angle_alpha 90.00
_cell_angle_beta 90.00
_cell_angle_gamma 90.00
_symmetry_space_group_name_H-M 'C m c m'
_symmetry_Int_Tables_number 63
_symmetry_space_group_name_Hall '-C 2c 2'
loop_
_atom_site_label
_atom_site_type_symbol
_atom_site_fract_x
_atom_site_fract_y
_atom_site_fract_z
Sb1 Sb 0.0000 0.2173 0.2500
Ru1 Ru 0.1796 0.3396 0.7500

=====

3.
# Tm5Mg2ZnRu2 (PBE, optimized geometry)
# **DFT total energy**: -95.85 eV for the cell shown
# **ΔH_f (0 K)**: -24.6 kJ/mol of atoms
# **Size of the total moment**: 0.000 μB/f.u.
# **DOS(E_F)**: 16.29 states/eV/cell
data_Tm5Mg2ZnRu2
_cell_length_a 11.2276
_cell_length_b 11.2276
_cell_length_c 3.7867
_cell_angle_alpha 90.00
_cell_angle_beta 90.00
_cell_angle_gamma 90.00
_symmetry_space_group_name_H-M 'P 4/m b m'
_symmetry_Int_Tables_number 127
_symmetry_space_group_name_Hall '-P 4 2ab'
loop_
_atom_site_label
_atom_site_type_symbol
_atom_site_fract_x
_atom_site_fract_y
_atom_site_fract_z
Tm1 Tm 0.0000 0.5000 0.0000
Tm2 Tm 0.0759 0.2050 0.0000
Mg1 Mg 0.1735 0.6735 0.5000
Zn1 Zn 0.0000 0.0000 0.5000
Ru1 Ru 0.1278 0.3722 0.5000

=====

4.
# BaAgIrPb2 (PBE, optimized geometry)
# **DFT total energy**: -13.50 eV for the cell shown
# **ΔH_f (0 K)**: 145.6 kJ/mol of atoms
# **Size of the total moment**: 0.000 μB/f.u.
# **DOS(E_F)**: 5.60 states/eV/cell
data_BaAgIrPb2
_cell_length_a 6.3216
_cell_length_b 6.3216
_cell_length_c 5.1267
_cell_angle_alpha 90.00
_cell_angle_beta 90.00
_cell_angle_gamma 90.00
_symmetry_space_group_name_H-M 'P 4/m m m'
_symmetry_Int_Tables_number 123
_symmetry_space_group_name_Hall '-P 4 2'
loop_
_atom_site_label
_atom_site_type_symbol
_atom_site_fract_x
_atom_site_fract_y
_atom_site_fract_z
Ba1 Ba 0.0000 0.0000 0.0000
Ag1 Ag 0.5000 0.5000 0.5000
Ir1 Ir 0.0000 0.0000 0.5000
Pb1 Pb 0.0000 0.5000 0.0000

=====

5.
# Dy4SnTe2As (PBE, optimized geometry)
# **DFT total energy**: -43.46 eV for the cell shown
# **Size of the total moment**: 0.000 μB/f.u.
# **DOS(E_F)**: 1.43 states/eV/cell
data_Dy4SnTe2As
_cell_length_a 7.4654
_cell_length_b 4.2991
_cell_length_c 7.5184
_cell_angle_alpha 90.00
_cell_angle_beta 109.19
_cell_angle_gamma 90.00
_symmetry_space_group_name_H-M 'P 1 2/m 1'
_symmetry_Int_Tables_number 10
_symmetry_space_group_name_Hall '-P 2y'
loop_
_atom_site_label
_atom_site_type_symbol
_atom_site_fract_x
_atom_site_fract_y
_atom_site_fract_z
Dy1 Dy 0.2347 0.0000 0.2245
Dy2 Dy 0.2490 0.5000 0.7683
Sn1 Sn 0.5000 0.0000 0.0000
Te1 Te 0.0000 0.0000 0.5000
Te2 Te 0.5000 0.5000 0.5000
As1 As 0.0000 0.5000 0.0000

=====

6.
# CaY2CoPb (PBE, optimized geometry)
# **DFT total energy**: -26.56 eV for the cell shown
# **ΔH_f (0 K)**: -15.8 kJ/mol of atoms
# **Size of the total moment**: 0.000 μB/f.u.
# **DOS(E_F)**: 3.56 states/eV/cell
data_CaY2CoPb
_cell_length_a 5.1671
_cell_length_b 5.1671
_cell_length_c 5.2538
_cell_angle_alpha 90.00
_cell_angle_beta 90.00
_cell_angle_gamma 90.00
_symmetry_space_group_name_H-M 'P 4/m m m'
_symmetry_Int_Tables_number 123
_symmetry_space_group_name_Hall '-P 4 2'
loop_
_atom_site_label
_atom_site_type_symbol
_atom_site_fract_x
_atom_site_fract_y
_atom_site_fract_z
Ca1 Ca 0.0000 0.0000 0.0000
Y1 Y 0.0000 0.5000 0.5000
Co1 Co 0.0000 0.0000 0.5000
Pb1 Pb 0.5000 0.5000 0.0000

=====

7.
# Zr3Tl3AgS8 (PBE, optimized geometry)
# **DFT total energy**: -250.16 eV for the cell shown
# **Size of the total moment**: 0.000 μB/f.u.
# **DOS(E_F)**: 4.99 states/eV/cell
data_Zr3Tl3AgS8
_cell_length_a 7.6070
_cell_length_b 7.6070
_cell_length_c 22.4948
_cell_angle_alpha 90.00
_cell_angle_beta 90.00
_cell_angle_gamma 120.00
_symmetry_space_group_name_H-M 'R -3 m'
_symmetry_Int_Tables_number 166
_symmetry_space_group_name_Hall '-R 3 2"'
loop_
_atom_site_label
_atom_site_type_symbol
_atom_site_fract_x
_atom_site_fract_y
_atom_site_fract_z
Zr1 Zr 0.0000 0.5000 0.0000
Tl1 Tl 0.0000 0.5000 0.5000
Ag1 Ag 0.0000 0.0000 0.0000
S1 S 0.0000 0.0000 0.2680
S2 S 0.0220 0.5110 0.2689

=====

8.
# P2OsPd (PBE, optimized geometry)
# **DFT total energy**: -110.94 eV for the cell shown
# **ΔH_f (0 K)**: -11.9 kJ/mol of atoms
# **Size of the total moment**: 0.000 μB/f.u.
# **DOS(E_F)**: 9.94 states/eV/cell
data_P2OsPd
_cell_length_a 5.3728
_cell_length_b 5.3728
_cell_length_c 10.4329
_cell_angle_alpha 90.00
_cell_angle_beta 90.00
_cell_angle_gamma 90.00
_symmetry_space_group_name_H-M 'I -4 2 d'
_symmetry_Int_Tables_number 122
_symmetry_space_group_name_Hall 'I -4 2bw'
loop_
_atom_site_label
_atom_site_type_symbol
_atom_site_fract_x
_atom_site_fract_y
_atom_site_fract_z
P1 P 0.2334 0.2500 0.1250
Os1 Os 0.0000 0.0000 0.0000
Pd1 Pd 0.0000 0.0000 0.5000

=====

Repeat the fifth record exactly.
# Dy4SnTe2As (PBE, optimized geometry)
# **DFT total energy**: -43.46 eV for the cell shown
# **Size of the total moment**: 0.000 μB/f.u.
# **DOS(E_F)**: 1.43 states/eV/cell
data_Dy4SnTe2As
_cell_length_a 7.4654
_cell_length_b 4.2991
_cell_length_c 7.5184
_cell_angle_alpha 90.00
_cell_angle_beta 109.19
_cell_angle_gamma 90.00
_symmetry_space_group_name_H-M 'P 1 2/m 1'
_symmetry_Int_Tables_number 10
_symmetry_space_group_name_Hall '-P 2y'
loop_
_atom_site_label
_atom_site_type_symbol
_atom_site_fract_x
_atom_site_fract_y
_atom_site_fract_z
Dy1 Dy 0.2347 0.0000 0.2245
Dy2 Dy 0.2490 0.5000 0.7683
Sn1 Sn 0.5000 0.0000 0.0000
Te1 Te 0.0000 0.0000 0.5000
Te2 Te 0.5000 0.5000 0.5000
As1 As 0.0000 0.5000 0.0000